A geometry-optimized BaGd2S3 structure. Source: OQMD via LeMat-Bulk, functional PBE-GGA.

POSCAR file:
```
BaGd2S3
1.0
4.078 0.000 0.000
-2.039 3.532 0.000
0.000 0.000 10.334
Ba Gd S
1 2 3
Cartesian
0.000 0.000 0.000
0.000 2.355 6.715
2.039 1.177 3.619
0.000 0.000 5.167
0.000 2.355 2.070
2.039 1.177 8.264
```

Its space group is P-3m1. The total energy comes out at -35.71 eV/cell.